# CrFeW | Alexandria | GGA-PBE | optimized geometry
# Crystal system   cubic
# Energy above the most stable polymorph in this dataset   896.9 meV per atom
# Calculated density   10.21 g/cm3
# Volume   15.81 Å³ per atom
data_CrFeW
_cell_length_a 5.7459
_cell_length_b 5.7459
_cell_length_c 5.7459
_cell_angle_alpha 90.00
_cell_angle_beta 90.00
_cell_angle_gamma 90.00
_space_group_name_H-M_alt 'F -4 3 m'
_space_group_IT_number 216
_space_group_name_Hall 'F -4 2 3'
loop_
_atom_site_label
_atom_site_type_symbol
_atom_site_fract_x
_atom_site_fract_y
_atom_site_fract_z
_atom_site_occupancy
Cr1 Cr 0.0000 0.0000 0.0000 1
Fe1 Fe 0.0000 0.0000 0.5000 1
W1 W 0.2500 0.2500 0.2500 1